Entry 1:
Density functional theory data (GGA-PBE) for a relaxed Na2LiLaBr6 crystal.

The structure in POSCAR format:
```
Na2LiLaBr6
1.0
7.411 0.001 -0.001
3.706 6.419 0.000
3.704 2.140 6.659
Br La Na Li
6 1 2 1
direct
0.441 0.715 0.752
0.092 0.442 0.752
0.204 0.931 0.263
0.603 0.204 0.263
0.931 0.603 0.263
0.715 0.092 0.752
0.322 0.322 0.034
0.018 0.018 0.946
0.520 0.520 0.440
0.816 0.817 0.550
```

Properties
* raw formation energy: -17.0 eV/f.u.
* raw total energy: -3.656 eV/atom
* size of the total moment: 0.000 μB/cell

=====

Entry 2:
Density functional theory data (GGA-PBE) for a relaxed LiLa2PdBr crystal.

The structure in POSCAR format:
```
LiLa2PdBr
1.0
-4.919 -2.650 0.583
1.941 -3.168 1.976
-0.805 2.579 4.926
Br Pd Li La
1 1 1 2
direct
0.500 0.500 0.500
0.000 0.500 0.000
0.000 0.000 0.000
0.000 0.000 0.500
0.500 0.000 0.000
```

Properties
* raw formation energy: -1.4 eV/f.u.
* raw total energy: -4.008 eV/atom
* size of the total moment: 0.000 μB/cell

=====

Entry 3:
Density functional theory data (GGA-PBE) for a relaxed RbLi4La3Br12 crystal.

The structure in POSCAR format:
```
RbLi4La3Br12
1.0
9.774 -0.423 -0.587
-2.765 9.384 -0.587
-2.765 -3.536 8.712
La Br Li Rb
3 12 4 1
direct
0.424 0.000 0.576
0.576 0.424 0.000
0.000 0.576 0.424
0.339 0.940 0.233
0.060 0.661 0.767
0.652 0.500 0.348
0.661 0.767 0.060
0.348 0.652 0.500
0.500 0.075 0.925
0.233 0.339 0.940
0.940 0.233 0.339
0.075 0.925 0.500
0.500 0.348 0.652
0.767 0.060 0.661
0.925 0.500 0.075
0.084 0.500 0.916
0.500 0.916 0.084
0.916 0.084 0.500
0.500 0.500 0.500
0.000 0.000 0.000
```

Properties
* raw formation energy: -32.8 eV/f.u.
* raw total energy: -3.813 eV/atom
* size of the total moment: 2.008 μB/cell

=====

Which value of size of the total moment does entry 2 give?
0.000 μB/cell

=====

Which formula does entry 2 have?
LiLa2PdBr